Entry 1:
Here is Nb2GaFe2Co5 after structural relaxation from Alexandria. Energies are from PBE.

The structure belongs to space group P4/mbm (No. 127); the cell edges are 8.274, 8.274 and 3.701 Å and the angles 90.00°, 90.00° and 90.00°. The inequivalent atoms are Nb at (0.168, 0.332, 0.000), Ga at (0.000, 0.000, 0.000), Fe at (0.129, 0.629, 0.000), Co at (0.000, 0.500, 0.500) and Co at (0.070, 0.795, 0.500).

For the calculated formation energy, the calculation gives -0.04 eV per atom. For the total magnetic moment, the calculation gives 9.57 μB per cell. For the density of states at the Fermi level, the calculation gives 22.969 states/eV per cell.

***

Entry 2:
Here is AcHoSc2 after structural relaxation from Alexandria. Energies are from PBE.

The structure belongs to space group R3m (No. 160, hexagonal axes); the cell edges are 3.5880, 3.5880 and 33.0489 Å and the angles 90.00°, 90.00° and 120.00°. The inequivalent atoms are Ac at (0.0000, 0.0000, 0.0000), Ho at (0.0000, 0.0000, 0.8333), Sc at (0.0000, 0.0000, 0.4201) and Sc at (0.0000, 0.0000, 0.5800).

For the calculated formation energy, the calculation gives 0.13 eV per atom. The energy above the most stable polymorph in this dataset is 13.9 kJ/mol of formula units. For the total magnetic moment, the calculation gives 0.01 μB per cell. For the density of states at the Fermi level, the calculation gives 20.616 states/eV per cell.

***

Q: Among the records above, which one has the highest density of states at the Fermi level?
A: Nb2GaFe2Co5